A relaxed structure of Na5Pa3H12, computed with GGA-PBE.

a b c (Å): 11.0939 11.0939 11.0939
angles (deg): 109.47 109.47 109.47
With the nearest neighbours (Å) after each atom.
Element x y z (fractional)
H: 0.7629 0.4276 0.3460  1 H 2.12, 2 Na 2.17-2.27, 2 Pa 2.25-2.27
Pa: 0.2500 0.6250 0.8750  8 H 2.25-2.27
Na: 0.5000 0.0000 0.0000  6 H 2.27
H: 0.0832 0.9185 0.3460  1 H 2.12, 2 Na 2.17-2.27, 2 Pa 2.25-2.27
Pa: 0.3750 0.7500 0.6250  8 H 2.25-2.27
H: 0.3460 0.9276 0.7629  1 H 2.12, 2 Na 2.17-2.27, 2 Pa 2.25-2.27
H: 0.0815 0.1647 0.4276  1 H 2.12, 2 Na 2.17-2.27, 2 Pa 2.25-2.27
H: 0.3460 0.4185 0.0832  1 H 2.12, 2 Na 2.17-2.27, 2 Pa 2.25-2.27
Na: 0.5000 0.5000 0.0000  6 H 2.27
Na: 0.3750 0.2500 0.1250  4 H 2.17
Na: 0.2500 0.8750 0.1250  4 H 2.17
Na: 0.2500 0.3750 0.6250  4 H 2.17
H: 0.4185 0.0724 0.3353  1 H 2.12, 2 Na 2.17-2.27, 2 Pa 2.25-2.27
H: 0.8460 0.2629 0.4276  1 H 2.12, 2 Na 2.17-2.27, 2 Pa 2.25-2.27
H: 0.4276 0.7629 0.8460  1 H 2.12, 2 Na 2.17-2.27, 2 Pa 2.25-2.27
Na: 0.0000 0.5000 0.5000  6 H 2.27
H: 0.7371 0.5832 0.1647  1 H 2.12, 2 Na 2.17-2.27, 2 Pa 2.25-2.27
H: 0.3353 0.7629 0.4168  1 H 2.12, 2 Na 2.17-2.27, 2 Pa 2.25-2.27
Pa: 0.2500 0.1250 0.3750  8 H 2.25-2.27
H: 0.6540 0.5815 0.9168  1 H 2.12, 2 Na 2.17-2.27, 2 Pa 2.25-2.27
Na: 0.3750 0.1250 0.7500  4 H 2.17
H: 0.5724 0.2371 0.1540  1 H 2.12, 2 Na 2.17-2.27, 2 Pa 2.25-2.27
Pa: 0.7500 0.3750 0.1250  8 H 2.25-2.27
H: 0.4168 0.2629 0.3353  1 H 2.12, 2 Na 2.17-2.27, 2 Pa 2.25-2.27
H: 0.9185 0.0832 0.8460  1 H 2.12, 2 Na 2.17-2.27, 2 Pa 2.25-2.27
H: 0.5815 0.6540 0.4168  1 H 2.12, 2 Na 2.17-2.27, 2 Pa 2.25-2.27
H: 0.0724 0.6540 0.7371  1 H 2.12, 2 Na 2.17-2.27, 2 Pa 2.25-2.27
Na: 0.8750 0.2500 0.6250  4 H 2.17
H: 0.1647 0.0815 0.9276  1 H 2.12, 2 Na 2.17-2.27, 2 Pa 2.25-2.27
H: 0.8353 0.9168 0.2629  1 H 2.12, 2 Na 2.17-2.27, 2 Pa 2.25-2.27
H: 0.6647 0.4276 0.5815  1 H 2.12, 2 Na 2.17-2.27, 2 Pa 2.25-2.27
Na: 0.1250 0.3750 0.2500  4 H 2.17
H: 0.9276 0.3460 0.2629  1 H 2.12, 2 Na 2.17-2.27, 2 Pa 2.25-2.27
H: 0.4276 0.6647 0.0815  1 H 2.12, 2 Na 2.17-2.27, 2 Pa 2.25-2.27
Pa: 0.6250 0.2500 0.3750  8 H 2.25-2.27
H: 0.2629 0.8460 0.9276  1 H 2.12, 2 Na 2.17-2.27, 2 Pa 2.25-2.27
Na: 0.1250 0.7500 0.3750  4 H 2.17
H: 0.0815 0.9168 0.1540  1 H 2.12, 2 Na 2.17-2.27, 2 Pa 2.25-2.27
H: 0.7371 0.1540 0.0724  1 H 2.12, 2 Na 2.17-2.27, 2 Pa 2.25-2.27
Na: 0.7500 0.6250 0.3750  4 H 2.17
H: 0.0724 0.4185 0.8353  1 H 2.12, 2 Na 2.17-2.27, 2 Pa 2.25-2.27
H: 0.1540 0.7371 0.5724  1 H 2.12, 2 Na 2.17-2.27, 2 Pa 2.25-2.27
H: 0.4168 0.1540 0.5815  1 H 2.12, 2 Na 2.17-2.27, 2 Pa 2.25-2.27
Na: 0.5000 0.0000 0.5000  6 H 2.27
H: 0.9276 0.5815 0.1647  1 H 2.12, 2 Na 2.17-2.27, 2 Pa 2.25-2.27
Pa: 0.7500 0.8750 0.6250  8 H 2.25-2.27
Pa: 0.8750 0.7500 0.1250  8 H 2.25-2.27
H: 0.1540 0.4168 0.0815  1 H 2.12, 2 Na 2.17-2.27, 2 Pa 2.25-2.27
H: 0.5724 0.3353 0.9185  1 H 2.12, 2 Na 2.17-2.27, 2 Pa 2.25-2.27
H: 0.9185 0.8353 0.5724  1 H 2.12, 2 Na 2.17-2.27, 2 Pa 2.25-2.27
Pa: 0.8750 0.1250 0.2500  8 H 2.25-2.27
H: 0.9168 0.8353 0.7629  1 H 2.12, 2 Na 2.17-2.27, 2 Pa 2.25-2.27
H: 0.2371 0.6647 0.0832  1 H 2.12, 2 Na 2.17-2.27, 2 Pa 2.25-2.27
H: 0.6540 0.0724 0.2371  1 H 2.12, 2 Na 2.17-2.27, 2 Pa 2.25-2.27
Na: 0.0000 0.5000 0.0000  6 H 2.27
H: 0.2371 0.5724 0.6540  1 H 2.12, 2 Na 2.17-2.27, 2 Pa 2.25-2.27
H: 0.6647 0.2371 0.5832  1 H 2.12, 2 Na 2.17-2.27, 2 Pa 2.25-2.27
H: 0.8353 0.9185 0.0724  1 H 2.12, 2 Na 2.17-2.27, 2 Pa 2.25-2.27
Na: 0.0000 0.0000 0.0000  6 H 2.27
H: 0.4185 0.3460 0.5832  1 H 2.12, 2 Na 2.17-2.27, 2 Pa 2.25-2.27
H: 0.9168 0.0815 0.6540  1 H 2.12, 2 Na 2.17-2.27, 2 Pa 2.25-2.27
H: 0.7629 0.3353 0.9168  1 H 2.12, 2 Na 2.17-2.27, 2 Pa 2.25-2.27
Na: 0.6250 0.7500 0.8750  4 H 2.17
Pa: 0.6250 0.3750 0.7500  8 H 2.25-2.27
H: 0.5832 0.7371 0.6647  1 H 2.12, 2 Na 2.17-2.27, 2 Pa 2.25-2.27
H: 0.1647 0.0832 0.7371  1 H 2.12, 2 Na 2.17-2.27, 2 Pa 2.25-2.27
Na: 0.5000 0.5000 0.5000  6 H 2.27
Pa: 0.1250 0.8750 0.7500  8 H 2.25-2.27
H: 0.0832 0.1647 0.2371  1 H 2.12, 2 Na 2.17-2.27, 2 Pa 2.25-2.27
H: 0.5815 0.9276 0.6647  1 H 2.12, 2 Na 2.17-2.27, 2 Pa 2.25-2.27
H: 0.8460 0.5832 0.9185  1 H 2.12, 2 Na 2.17-2.27, 2 Pa 2.25-2.27
H: 0.5832 0.8460 0.4185  1 H 2.12, 2 Na 2.17-2.27, 2 Pa 2.25-2.27
Pa: 0.1250 0.2500 0.8750  8 H 2.25-2.27
Na: 0.7500 0.1250 0.8750  4 H 2.17
Na: 0.6250 0.8750 0.2500  4 H 2.17
H: 0.3353 0.5724 0.4185  1 H 2.12, 2 Na 2.17-2.27, 2 Pa 2.25-2.27
Na: 0.0000 0.0000 0.5000  6 H 2.27
Na: 0.8750 0.6250 0.7500  4 H 2.17
Pa: 0.3750 0.6250 0.2500  8 H 2.25-2.27
H: 0.2629 0.4168 0.8353  1 H 2.12, 2 Na 2.17-2.27, 2 Pa 2.25-2.27

Values from the calculation:
**D(E_F)**: 14.5 states/eV/f.u.
**Space group**: No. 230
**ρ**: 5.2 g cm⁻³
**VASP energy**: -3.83 eV/atom
**Total magnetization**: 10.4 Bohr magnetons per cell

A relaxed structure of PuVSi, computed with GGA-PBE.

a b c (Å): 3.5148 4.2902 4.2902
angles (deg): 120.00 90.00 90.00
With the nearest neighbours (Å) after each atom.
Element x y z (fractional)
Pu: 0.6667 0.3333 0.6667  6 V 3.04, 6 Si 3.04
Si: 0.1667 0.0000 0.0000  3 V 2.48
V: 0.1666 0.6667 0.3333  3 Si 2.48

Values from the calculation:
**D(E_F)**: 5.4 states/eV/f.u.
**Space group**: No. 187
**ρ**: 9.6 g cm⁻³
**VASP energy**: -9.72 eV/atom
**Total magnetization**: 3.8 Bohr magnetons per cell
**Raw formation energy**: -0.100 eV per atom

A relaxed structure of Na3FeP, computed with GGA-PBE.

a b c (Å): 5.3591 5.3591 5.3591
angles (deg): 90.00 90.00 90.00
With the nearest neighbours (Å) after each atom.
Element x y z (fractional)
P: 0.5000 0.5000 0.5000  12 Na 3.79
Na: 0.0000 0.0000 0.5000  2 Fe 2.68
Na: 0.0000 0.5000 0.0000  2 Fe 2.68
Fe: 0.0000 0.0000 0.0000  6 Na 2.68
Na: 0.5000 0.0000 0.0000  2 Fe 2.68

Values from the calculation:
**D(E_F)**: 8.1 states/eV/f.u.
**Space group**: No. 221
**ΔH_f (0 K)**: 1027.9 meV/atom
**ρ**: 1.7 g cm⁻³
**VASP energy**: -2.54 eV/atom
**Excess energy over the best structure of this formula in the dataset**: 2.110 eV/f.u.
**Total magnetization**: 4.0 Bohr magnetons per cell

A relaxed structure of RbLa2Br8, computed with GGA-PBE.

a b c (Å): 8.6540 7.7651 7.7651
angles (deg): 72.77 80.60 80.60
With the nearest neighbours (Å) after each atom.
Element x y z (fractional)
Br: 0.1857 0.2213 0.2213  1 La 2.92
Rb: 0.0000 0.0000 0.0000  6 Br 3.47-3.55
La: 0.5389 0.6770 0.6770  7 Br 2.92-3.06
Br: 0.3270 0.6546 0.0380  2 La 3.06
Br: 0.3270 0.0380 0.6546  2 La 3.06
La: 0.4611 0.3230 0.3230  7 Br 2.92-3.06
Br: 0.6730 0.3454 0.9620  2 La 3.06
Br: 0.7206 0.4455 0.4455  2 La 2.96-3.00
Br: 0.2794 0.5545 0.5545  2 La 2.96-3.00
Br: 0.6730 0.9620 0.3454  2 La 3.06
Br: 0.8143 0.7787 0.7787  1 La 2.92

Values from the calculation:
**D(E_F)**: 5.4 states/eV/f.u.
**Space group**: No. 12
**ρ**: 3.4 g cm⁻³
**VASP energy**: -3.90 eV/atom
**Excess energy over the best structure of this formula in the dataset**: 0.807 eV/f.u.
**Total magnetization**: 1.1 Bohr magnetons per cell
**Raw formation energy**: -1.696 eV per atom

A relaxed structure of Pr5Ho2Tl, computed with GGA-PBE.

a b c (Å): 3.5199 11.4670 8.9110
angles (deg): 130.05 101.39 90.00
With the nearest neighbours (Å) after each atom.
Element x y z (fractional)
Pr: 0.6308 0.3964 0.2615  3 Ho 3.32-3.70, 7 Pr 3.45-3.65
Ho: 0.2701 0.7701 0.5402  7 Pr 3.32-3.70, 2 Tl 3.50, 2 Ho 3.52
Pr: 0.6308 0.8651 0.2615  3 Ho 3.32-3.70, 7 Pr 3.45-3.65
Pr: 0.3692 0.1349 0.7385  3 Ho 3.32-3.70, 7 Pr 3.45-3.65
Pr: 0.3692 0.6036 0.7385  3 Ho 3.32-3.70, 7 Pr 3.45-3.65
Pr: 0.0000 0.5000 0.0000  10 Pr 3.52-3.65, 2 Ho 3.56
Ho: 0.7299 0.2299 0.4598  7 Pr 3.32-3.70, 2 Tl 3.50, 2 Ho 3.52
Tl: 0.0000 0.0000 0.0000  4 Ho 3.50, 2 Tl 3.52, 8 Pr 3.92

Values from the calculation:
**D(E_F)**: 10.9 states/eV/f.u.
**Space group**: No. 71
**ΔH_f (0 K)**: -0.5 meV/atom
**ρ**: 7.7 g cm⁻³
**VASP energy**: -4.43 eV/atom
**Excess energy over the best structure of this formula in the dataset**: 0.351 eV/f.u.
**Total magnetization**: 0.0 Bohr magnetons per cell

A relaxed structure of Sb2W, computed with GGA-PBE.

a b c (Å): 6.7604 6.7604 6.7604
angles (deg): 90.00 90.00 90.00
With the nearest neighbours (Å) after each atom.
Element x y z (fractional)
W: 0.0000 0.0000 0.0000  6 Sb 2.80
W: 0.5000 0.5000 0.0000  6 Sb 2.80
Sb: 0.3724 0.3724 0.6276  3 W 2.80, 1 Sb 2.99
Sb: 0.1276 0.8724 0.6276  3 W 2.80, 1 Sb 2.99
Sb: 0.6276 0.8724 0.8724  3 W 2.80, 1 Sb 2.99
W: 0.0000 0.5000 0.5000  6 Sb 2.80
Sb: 0.8724 0.1276 0.3724  3 W 2.80, 1 Sb 2.99
Sb: 0.6276 0.6276 0.3724  3 W 2.80, 1 Sb 2.99
W: 0.5000 0.0000 0.5000  6 Sb 2.80
Sb: 0.3724 0.1276 0.1276  3 W 2.80, 1 Sb 2.99
Sb: 0.8724 0.3724 0.8724  3 W 2.80, 1 Sb 2.99
Sb: 0.1276 0.6276 0.1276  3 W 2.80, 1 Sb 2.99

Values from the calculation:
**D(E_F)**: 2.5 states/eV/f.u.
**Space group**: No. 205
**ρ**: 9.2 g cm⁻³
**VASP energy**: -6.31 eV/atom
**Excess energy over the best structure of this formula in the dataset**: 1.436 eV/f.u.
**Total magnetization**: 8.2 Bohr magnetons per cell
**Raw formation energy**: 0.757 eV per atom

A relaxed structure of CrCdSe2, computed with GGA-PBE.

a b c (Å): 3.5635 4.2546 7.3702
angles (deg): 60.73 90.00 90.00
With the nearest neighbours (Å) after each atom.
Element x y z (fractional)
Se: 0.0000 0.7123 0.5152  2 Cr 2.54, 2 Cd 2.80
Se: 0.0000 0.7877 0.9848  2 Cr 2.54, 2 Cd 2.80
Cd: 0.5000 0.2500 0.2500  4 Se 2.80
Cr: 0.5000 0.7500 0.7500  4 Se 2.54

Values from the calculation:
**D(E_F)**: 1.1 states/eV/f.u.
**Space group**: No. 10
**ρ**: 5.5 g cm⁻³
**VASP energy**: -4.57 eV/atom
**Total magnetization**: 3.9 Bohr magnetons per cell
**Raw formation energy**: -0.197 eV per atom

A relaxed structure of NbB4W, computed with GGA-PBE.

a b c (Å): 3.3286 3.0811 5.3390
angles (deg): 90.00 90.00 90.00
With the nearest neighbours (Å) after each atom.
Element x y z (fractional)
B: 0.4986 0.4973 0.3279  3 B 1.78-1.82
B: 0.4986 0.9973 0.8349  3 B 1.74-1.78
Nb: 0.9986 0.9973 0.4981  12 B 2.44-2.45
B: 0.4986 0.4973 0.6684  3 B 1.78-1.82
W: 0.9986 0.4973 0.9981  12 B 2.42-2.43
B: 0.4986 0.9973 0.1614  3 B 1.74-1.78

Values from the calculation:
**D(E_F)**: 2.3 states/eV/f.u.
**Space group**: No. 47
**ΔH_f (0 K)**: -395.0 meV/atom
**ρ**: 9.7 g cm⁻³
**VASP energy**: -8.68 eV/atom
**Total magnetization**: 0.0 Bohr magnetons per cell

A relaxed structure of DyYTm14, computed with GGA-PBE.

a b c (Å): 6.8531 6.8531 11.0045
angles (deg): 90.00 90.00 109.51
With the nearest neighbours (Å) after each atom.
Element x y z (fractional)
Tm: 0.8367 0.5876 0.7522  9 Tm 3.30-3.57, 1 Y 3.35, 1 Dy 3.60
Tm: 0.4124 0.1633 0.7522  9 Tm 3.30-3.57, 1 Y 3.35, 1 Dy 3.60
Tm: 0.9003 0.0997 0.2642  9 Tm 3.39-3.66, 1 Y 3.44
Tm: 0.6311 0.7844 0.5000  7 Tm 3.29-3.57, 2 Y 3.42-3.49, 2 Dy 3.44-3.46
Tm: 0.4124 0.1633 0.2478  9 Tm 3.30-3.57, 1 Y 3.35, 1 Dy 3.60
Tm: 0.0985 0.9015 0.0000  12 Tm 3.45-3.82
Tm: 0.0358 0.3804 0.0000  11 Tm 3.29-3.55
Tm: 0.9003 0.0997 0.7358  9 Tm 3.39-3.66, 1 Y 3.44
Tm: 0.6196 0.9642 0.0000  11 Tm 3.29-3.55
Tm: 0.5518 0.4482 0.0000  10 Tm 3.30-3.50
Tm: 0.3498 0.6502 0.2346  9 Tm 3.40-3.51, 1 Dy 3.67
Tm: 0.3498 0.6502 0.7654  9 Tm 3.40-3.51, 1 Dy 3.67
Y: 0.6980 0.3020 0.5000  10 Tm 3.35-3.49
Tm: 0.8367 0.5876 0.2478  9 Tm 3.30-3.57, 1 Y 3.35, 1 Dy 3.60
Tm: 0.2156 0.3689 0.5000  7 Tm 3.29-3.57, 2 Y 3.42-3.49, 2 Dy 3.44-3.46
Dy: 0.1513 0.8487 0.5000  12 Tm 3.44-3.82

Values from the calculation:
**D(E_F)**: 29.7 states/eV/f.u.
**Space group**: No. 38
**ΔH_f (0 K)**: 62.8 meV/atom
**ρ**: 8.9 g cm⁻³
**VASP energy**: -4.54 eV/atom
**Total magnetization**: 0.0 Bohr magnetons per cell

A relaxed structure of TaGa3Au, computed with GGA-PBE.

a b c (Å): 5.0413 5.0413 5.0413
angles (deg): 90.00 90.00 90.00
With the nearest neighbours (Å) after each atom.
Element x y z (fractional)
Au: 0.5000 0.5000 0.5000  12 Ga 3.56
Ga: 0.0000 0.0000 0.5000  2 Ta 2.52
Ta: 0.0000 0.0000 0.0000  6 Ga 2.52
Ga: 0.5000 0.0000 0.0000  2 Ta 2.52
Ga: 0.0000 0.5000 0.0000  2 Ta 2.52

Values from the calculation:
**D(E_F)**: 3.8 states/eV/f.u.
**Space group**: No. 221
**ΔH_f (0 K)**: 777.9 meV/atom
**ρ**: 7.6 g cm⁻³
**VASP energy**: -4.06 eV/atom
**Excess energy over the best structure of this formula in the dataset**: 0.000 eV/f.u.
**Total magnetization**: 0.0 Bohr magnetons per cell